No. 1
An optimized crystal structure of NbNiHgSe3. Source: Alexandria, functional PBE.

Summary:
Fermi-level density of states (states/eV/cell): 7.43
Magnetic moment (μB/f.u.): 0.0
Mass density (Mg/m³): 6.57
ΔE_f (raw) (eV per atom): -0.52

a b c (Å): 9.876 3.511 9.880
angles (deg): 90.00 119.63 90.00
Sites, in units of the cell vectors:
1 Nb 0.027 0.250 0.328
2 Nb 0.973 0.750 0.672
3 Ni 0.022 0.750 0.109
4 Ni 0.978 0.250 0.891
5 Hg 0.499 0.250 0.244
6 Hg 0.501 0.750 0.756
7 Se 0.160 0.250 0.643
8 Se 0.163 0.750 0.969
9 Se 0.236 0.750 0.366
10 Se 0.764 0.250 0.634
11 Se 0.837 0.250 0.031
12 Se 0.840 0.750 0.357

---

No. 2
An optimized crystal structure of NdZn4Ir. Source: Alexandria, functional PBE.

Summary:
E_form (eV per atom): -0.250
E above lowest polymorph (meV/atom): 89
Fermi-level density of states (states/eV/cell): 4.78
Magnetic moment (μB/f.u.): 0.0
Mass density (Mg/m³): 8.90

a b c (Å): 7.183 7.183 6.891
angles (deg): 90.00 90.00 141.13
Sites, in units of the cell vectors:
1 Nd 0.113 0.887 0.750
2 Nd 0.887 0.113 0.250
3 Zn 0.102 0.898 0.250
4 Zn 0.276 0.724 0.076
5 Zn 0.276 0.724 0.424
6 Zn 0.500 0.500 0.000
7 Zn 0.500 0.500 0.500
8 Zn 0.724 0.276 0.576
9 Zn 0.724 0.276 0.924
10 Zn 0.898 0.102 0.750
11 Ir 0.360 0.640 0.750
12 Ir 0.640 0.360 0.250

---

No. 3
An optimized crystal structure of RbNa2Zr. Source: Alexandria, functional PBE.

Summary:
E_form (eV per atom): 1.004
E above lowest polymorph (meV/atom): 94
Fermi-level density of states (states/eV/cell): 11.60
Magnetic moment (μB/f.u.): 2.9
Mass density (Mg/m³): 2.28

a b c (Å): 7.585 7.585 7.585
angles (deg): 103.87 103.87 121.37
Sites, in units of the cell vectors:
1 Rb 0.000 0.000 0.000
2 Rb 0.750 0.250 0.500
3 Na 0.139 0.125 0.514
4 Na 0.375 0.861 0.986
5 Na 0.611 0.625 0.486
6 Na 0.875 0.389 0.014
7 Zr 0.250 0.750 0.500
8 Zr 0.500 0.500 0.000

---

No. 4
An optimized crystal structure of Hf3BeTl. Source: Alexandria, functional PBE.

Summary:
E_form (eV per atom): 1.738
E above lowest polymorph (meV/atom): 1569
Fermi-level density of states (states/eV/cell): 4.56
Magnetic moment (μB/f.u.): 0.0
Mass density (Mg/m³): 8.65

a b c (Å): 5.238 5.238 5.238
angles (deg): 90.00 90.00 90.00
Sites, in units of the cell vectors:
1 Hf 0.000 0.000 0.500
2 Hf 0.000 0.500 0.000
3 Hf 0.500 0.000 0.000
4 Be 0.500 0.500 0.500
5 Tl 0.000 0.000 0.000

---

No. 5
An optimized crystal structure of NbTeOs3. Source: Alexandria, functional PBE.

Summary:
E above lowest polymorph (meV/atom): 150
Fermi-level density of states (states/eV/cell): 6.49
Magnetic moment (μB/f.u.): 1.5
Mass density (Mg/m³): 12.28
ΔE_f (raw) (eV per atom): 2.35

a b c (Å): 4.747 4.747 4.747
angles (deg): 90.00 90.00 90.00
Sites, in units of the cell vectors:
1 Nb 0.000 0.000 0.000
2 Te 0.500 0.500 0.500
3 Os 0.000 0.500 0.500
4 Os 0.500 0.000 0.500
5 Os 0.500 0.500 0.000

---

No. 6
An optimized crystal structure of SmHo2Sc7. Source: Alexandria, functional PBE.

Summary:
E_form (eV per atom): 0.158
E above lowest polymorph (meV/atom): 100
Fermi-level density of states (states/eV/cell): 16.28
Magnetic moment (μB/f.u.): 0.0
Mass density (Mg/m³): 4.84

a b c (Å): 13.930 13.930 3.326
angles (deg): 90.00 90.00 154.98
Sites, in units of the cell vectors:
1 Sm 0.000 0.000 0.000
2 Ho 0.289 0.711 0.500
3 Ho 0.711 0.289 0.500
4 Sc 0.148 0.348 0.500
5 Sc 0.183 0.817 0.000
6 Sc 0.348 0.148 0.500
7 Sc 0.500 0.500 0.500
8 Sc 0.652 0.852 0.500
9 Sc 0.817 0.183 0.000
10 Sc 0.852 0.652 0.500

---

No. 7
An optimized crystal structure of CeY2ErSe4. Source: Alexandria, functional PBE.

Summary:
Fermi-level density of states (states/eV/cell): 8.80
Magnetic moment (μB/f.u.): 1.0
Mass density (Mg/m³): 6.80
ΔE_f (raw) (eV per atom): -1.76

a b c (Å): 7.106 4.074 7.147
angles (deg): 90.00 109.08 90.00
Sites, in units of the cell vectors:
1 Ce 0.000 0.000 0.000
2 Y 0.500 0.000 0.500
3 Y 0.500 0.500 0.000
4 Er 0.000 0.500 0.500
5 Se 0.250 0.000 0.743
6 Se 0.255 0.500 0.259
7 Se 0.745 0.500 0.741
8 Se 0.750 0.000 0.257

---

No. 8
An optimized crystal structure of Ac2PmMgO6. Source: Alexandria, functional PBE.

Summary:
Fermi-level density of states (states/eV/cell): 17.96
Magnetic moment (μB/f.u.): 1.1
Mass density (Mg/m³): 7.66
ΔE_f (raw) (eV per atom): -2.93

a b c (Å): 5.954 6.127 10.320
angles (deg): 90.00 124.13 90.00
Sites, in units of the cell vectors:
1 Ac 0.231 0.051 0.249
2 Ac 0.231 0.449 0.749
3 Ac 0.769 0.551 0.251
4 Ac 0.769 0.949 0.751
5 Pm 0.500 0.000 0.000
6 Pm 0.500 0.500 0.500
7 Mg 0.000 0.000 0.500
8 Mg 0.000 0.500 0.000
9 O 0.126 0.209 0.938
10 O 0.126 0.291 0.438
11 O 0.227 0.692 0.939
12 O 0.227 0.808 0.439
13 O 0.352 0.051 0.738
14 O 0.352 0.449 0.238
15 O 0.648 0.551 0.762
16 O 0.648 0.949 0.262
17 O 0.773 0.192 0.561
18 O 0.773 0.308 0.061
19 O 0.874 0.709 0.562
20 O 0.874 0.791 0.062

---

Q: Fermi-level density of states of number 2 (NdZn4Ir)?
A: 4.78 states/eV/cell

---

Q: Look up the mass density of the sixth one.
A: 4.84 Mg/m³